1.
# Ir5OsRu4

Ir5OsRu4 after structural relaxation (PBE, Alexandria via LeMat-Bulk).

The excess energy over the best structure of this formula in the dataset comes out at 387.3 kJ/mol of formula units. The calculation puts the total energy at -8.861 eV per atom. Its formation energy is 0.40 eV/atom.

The structure belongs to space group C2/m (No. 12); the cell edges are 13.6788, 3.8275 and 6.7716 Å and the angles 90.00°, 119.54° and 90.00°. The inequivalent atoms are Ir at (0.0000, 0.0000, 0.0000), Ir at (0.1693, 0.5000, 0.7120), Ir at (0.1705, 0.5000, 0.1270), Os at (0.0000, 0.0000, 0.5000), Ru at (0.0201, 0.5000, 0.2712) and Ru at (0.1694, 0.0000, 0.4216).



2.
# LiCd6In3

LiCd6In3 after structural relaxation (PBE, Alexandria via LeMat-Bulk).

The calculation puts the total energy at -1.594 eV per atom. Its formation energy is -0.03 eV/atom.

The structure belongs to space group R-3 (No. 148, hexagonal axes); the cell edges are 12.8698, 12.8698 and 9.8081 Å and the angles 90.00°, 90.00° and 120.00°. The inequivalent atoms are Li at (0.0000, 0.0000, 0.0000), Li at (0.0000, 0.0000, 0.5000), Cd at (0.0145, 0.7732, 0.0471), Cd at (0.0704, 0.5826, 0.1202) and In at (0.0358, 0.8707, 0.7498).